Na3Pd2Pb3 | PBE | optimized geometry

Cell and atoms, written as CIF:
```
data_Na3Pd2Pb3
_chemical_formula_sum 'Na6 Pd4 Pb6'
_symmetry_space_group_name_H-M 'P 1'
_symmetry_Int_Tables_number 1
_symmetry_space_group_name_Hall 'P 1'
_cell_length_a 4.769
_cell_length_b 6.024
_cell_length_c 15.958
_cell_angle_alpha 90.00
_cell_angle_beta 90.00
_cell_angle_gamma 113.32
loop_
_atom_site_label
_atom_site_type_symbol
_atom_site_fract_x
_atom_site_fract_y
_atom_site_fract_z
_atom_site_occupancy
Pb1 Pb 0.634 0.267 0.457 1
Pb2 Pb 0.366 0.733 0.543 1
Pb3 Pb 0.366 0.733 0.957 1
Pb4 Pb 0.350 0.700 0.250 1
Pb5 Pb 0.650 0.300 0.750 1
Pb6 Pb 0.634 0.267 0.043 1
Pd1 Pd 0.776 0.552 0.603 1
Pd2 Pd 0.224 0.448 0.397 1
Pd3 Pd 0.776 0.552 0.897 1
Pd4 Pd 0.224 0.448 0.103 1
Na1 Na 0.933 0.865 0.387 1
Na2 Na 0.354 0.708 0.750 1
Na3 Na 0.067 0.135 0.613 1
Na4 Na 0.646 0.292 0.250 1
Na5 Na 0.067 0.135 0.887 1
Na6 Na 0.933 0.865 0.113 1
```

NaPd3Pb6 | PBE | optimized geometry

Cell and atoms, written as CIF:
```
data_NaPd3Pb6
_chemical_formula_sum 'Na2 Pd6 Pb12'
_symmetry_space_group_name_H-M 'P 1'
_symmetry_Int_Tables_number 1
_symmetry_space_group_name_Hall 'P 1'
_cell_length_a 3.646
_cell_length_b 11.329
_cell_length_c 12.380
_cell_angle_alpha 102.35
_cell_angle_beta 90.00
_cell_angle_gamma 90.00
loop_
_atom_site_label
_atom_site_type_symbol
_atom_site_fract_x
_atom_site_fract_y
_atom_site_fract_z
_atom_site_occupancy
Pd1 Pd 0.250 0.662 0.143 1
Pd2 Pd 0.250 0.310 0.472 1
Pd3 Pd 0.750 0.072 0.083 1
Pd4 Pd 0.250 0.928 0.917 1
Pd5 Pd 0.750 0.338 0.857 1
Pd6 Pd 0.750 0.690 0.528 1
Pb1 Pb 0.250 0.545 0.892 1
Pb2 Pb 0.750 0.763 0.766 1
Pb3 Pb 0.750 0.804 0.037 1
Pb4 Pb 0.250 0.196 0.963 1
Pb5 Pb 0.250 0.237 0.234 1
Pb6 Pb 0.750 0.470 0.618 1
Pb7 Pb 0.750 0.455 0.108 1
Pb8 Pb 0.250 0.237 0.678 1
Pb9 Pb 0.750 0.109 0.438 1
Pb10 Pb 0.250 0.530 0.382 1
Pb11 Pb 0.750 0.763 0.322 1
Pb12 Pb 0.250 0.891 0.562 1
Na1 Na 0.250 0.959 0.230 1
Na2 Na 0.750 0.041 0.770 1
```

Na2PdPb2 | PBE | optimized geometry

Cell and atoms, written as CIF:
```
data_Na2PdPb2
_chemical_formula_sum 'Na4 Pd2 Pb4'
_symmetry_space_group_name_H-M 'P 1'
_symmetry_Int_Tables_number 1
_symmetry_space_group_name_Hall 'P 1'
_cell_length_a 4.756
_cell_length_b 4.756
_cell_length_c 12.258
_cell_angle_alpha 101.19
_cell_angle_beta 101.19
_cell_angle_gamma 90.00
loop_
_atom_site_label
_atom_site_type_symbol
_atom_site_fract_x
_atom_site_fract_y
_atom_site_fract_z
_atom_site_occupancy
Pb1 Pb 0.315 0.315 0.629 1
Pb2 Pb 0.065 0.565 0.129 1
Pb3 Pb 0.685 0.685 0.371 1
Pb4 Pb 0.435 0.935 0.871 1
Pd1 Pd 0.250 0.750 0.500 1
Pd2 Pd 0.500 0.500 0.000 1
Na1 Na 0.825 0.825 0.651 1
Na2 Na 0.575 0.075 0.151 1
Na3 Na 0.175 0.175 0.349 1
Na4 Na 0.925 0.425 0.849 1
```

| no. | ΔE_f (eV per atom) | DOS(E_F) (states/eV/cell) | magnetization (μB/f.u.) |
| --- | --- | --- | --- |
| 1 | -0.213 | 6.1 | 0.00 |
| 2 | -0.149 | 8.1 | 0.00 |
| 3 | -0.114 | 5.9 | 0.00 |